[1]
This record from Alexandria describes a relaxed structure of K3Sb2Te4. The functional is PBE. Values from VASP.

ΔE_f (raw) = -0.5751 eV per atom
space group = C2/c
distance to the lowest polymorph of the same formula = 0 meV per atom

The structure in Quantum ESPRESSO input format:
```
&SYSTEM
  ibrav = 0, nat = 18, ntyp = 3
/
ATOMIC_SPECIES
K 39.10 K.upf
Sb 121.76 Sb.upf
Te 127.60 Te.upf
CELL_PARAMETERS angstrom
8.391 -4.786 0.000
8.391 4.786 0.000
-0.891 0.000 10.127
ATOMIC_POSITIONS angstrom
K 7.723 4.553 7.595
K 6.061 0.929 1.529
K 5.615 -0.929 6.592
K 10.277 0.929 3.535
K 9.831 -0.929 8.598
K 8.169 -4.553 2.532
Sb 2.765 1.390 5.534
Sb 3.211 -1.390 0.471
Sb 12.681 1.390 9.655
Sb 13.127 -1.390 4.592
Te 2.765 0.487 8.513
Te 7.103 2.034 5.000
Te 3.211 -0.487 3.449
Te 9.234 2.034 0.063
Te 6.658 -2.034 10.064
Te 12.681 0.487 6.677
Te 8.789 -2.034 5.126
Te 13.126 -0.487 1.614
```

***

[2]
This record from Alexandria describes a relaxed structure of Nd6Ge3Bi. The functional is PBE. Values from VASP.

formation energy = -0.6001 eV per atom
space group = Cmc2_1

The structure in Quantum ESPRESSO input format:
```
&SYSTEM
  ibrav = 0, nat = 20, ntyp = 3
/
ATOMIC_SPECIES
Nd 144.24 Nd.upf
Ge 72.64 Ge.upf
Bi 208.98 Bi.upf
CELL_PARAMETERS angstrom
5.512 -7.351 0.000
5.512 7.351 0.000
0.000 0.000 7.808
ATOMIC_POSITIONS angstrom
Nd 5.512 7.252 3.904
Nd 3.399 3.203 3.740
Nd 5.512 3.712 6.562
Nd 3.516 0.573 6.812
Nd 3.516 -0.573 2.908
Nd 7.626 3.203 3.740
Nd 3.399 -3.203 7.644
Nd 7.509 0.573 6.812
Nd 7.509 -0.573 2.908
Nd 5.512 -3.712 2.658
Nd 7.626 -3.203 7.644
Nd 5.512 -7.252 0.000
Ge 2.013 1.596 1.594
Ge 2.013 -1.596 5.498
Ge 5.512 1.206 4.619
Ge 5.512 -1.206 0.715
Ge 9.012 1.596 1.594
Ge 9.012 -1.596 5.498
Bi 5.512 4.772 1.764
Bi 5.512 -4.772 5.668
```

***

[3]
This record from Alexandria describes a relaxed structure of La5Ho4Tl4. The functional is PBE. Values from VASP.

formation energy = -0.2599 eV per atom
space group = I4/m

The structure in Quantum ESPRESSO input format:
```
&SYSTEM
  ibrav = 0, nat = 13, ntyp = 3
/
ATOMIC_SPECIES
La 138.91 La.upf
Ho 164.93 Ho.upf
Tl 204.38 Tl.upf
CELL_PARAMETERS angstrom
-6.480 6.480 2.519
6.480 -6.480 2.519
6.480 6.480 -2.519
ATOMIC_POSITIONS angstrom
La 0.000 0.000 0.000
La 5.026 3.920 0.000
La 2.560 -1.454 2.519
La 3.920 7.933 0.000
La 1.454 2.560 2.519
Ho 7.708 1.211 0.000
Ho 1.211 5.251 0.000
Ho 5.269 1.228 2.519
Ho -1.228 5.269 2.519
Tl 3.137 1.115 0.000
Tl 5.365 -3.342 2.519
Tl 1.115 9.822 0.000
Tl 3.342 5.365 2.519
```

***

[4]
This record from Alexandria describes a relaxed structure of MgCd2CuF. The functional is PBE. Values from VASP.

ΔE_f (raw) = -0.4725 eV per atom
space group = P4/mmm

The structure in Quantum ESPRESSO input format:
```
&SYSTEM
  ibrav = 0, nat = 5, ntyp = 4
/
ATOMIC_SPECIES
Mg 24.30 Mg.upf
Cd 112.41 Cd.upf
Cu 63.55 Cu.upf
F 19.00 F.upf
CELL_PARAMETERS angstrom
5.021 0.000 0.000
0.000 5.021 0.000
0.000 0.000 3.807
ATOMIC_POSITIONS angstrom
Mg 0.000 0.000 0.000
Cd 0.000 2.510 1.903
Cd 2.510 0.000 1.903
Cu 2.510 2.510 0.000
F 0.000 0.000 1.903
```

***

[5]
This record from Alexandria describes a relaxed structure of Sc2CuSi4Ir3. The functional is PBE. Values from VASP.

ΔE_f (raw) = -0.8053 eV per atom
space group = P-4m2

The structure in Quantum ESPRESSO input format:
```
&SYSTEM
  ibrav = 0, nat = 10, ntyp = 4
/
ATOMIC_SPECIES
Sc 44.96 Sc.upf
Cu 63.55 Cu.upf
Si 28.09 Si.upf
Ir 192.22 Ir.upf
CELL_PARAMETERS angstrom
3.977 0.000 0.000
0.000 3.977 0.000
0.000 0.000 10.076
ATOMIC_POSITIONS angstrom
Sc 0.000 1.989 2.505
Sc 1.989 0.000 7.571
Cu 0.000 0.000 5.038
Si 0.000 0.000 0.000
Si 0.000 1.989 6.391
Si 1.989 0.000 3.685
Si 1.989 1.989 0.000
Ir 0.000 1.989 8.729
Ir 1.989 0.000 1.347
Ir 1.989 1.989 5.038
```

***

[6]
This record from Alexandria describes a relaxed structure of AgMoP2. The functional is PBE. Values from VASP.

formation energy = 0.3856 eV per atom
space group = C2/m
distance to the lowest polymorph of the same formula = 449 meV per atom

The structure in Quantum ESPRESSO input format:
```
&SYSTEM
  ibrav = 0, nat = 4, ntyp = 3
/
ATOMIC_SPECIES
Ag 107.87 Ag.upf
Mo 95.94 Mo.upf
P 30.97 P.upf
CELL_PARAMETERS angstrom
3.004 -4.118 0.000
3.004 4.118 0.000
-0.008 0.000 2.643
ATOMIC_POSITIONS angstrom
Ag 0.000 0.000 0.000
Mo 3.004 0.000 0.000
P 1.502 2.059 0.000
P 1.502 -2.059 0.000
```

***

[7]
This record from Alexandria describes a relaxed structure of Dy3TmTl3Te8. The functional is PBE. Values from VASP.

ΔE_f (raw) = -1.0481 eV per atom
space group = C2/m

The structure in Quantum ESPRESSO input format:
```
&SYSTEM
  ibrav = 0, nat = 15, ntyp = 4
/
ATOMIC_SPECIES
Dy 162.50 Dy.upf
Tm 168.93 Tm.upf
Tl 204.38 Tl.upf
Te 127.60 Te.upf
CELL_PARAMETERS angstrom
7.600 -4.380 0.000
7.600 4.380 0.000
-5.074 0.000 8.197
ATOMIC_POSITIONS angstrom
Dy 0.000 0.000 0.000
Dy 3.800 2.190 0.000
Dy 3.800 -2.190 0.000
Tm 7.600 0.000 0.000
Tl 1.263 2.190 4.099
Tl 1.263 -2.190 4.099
Tl 5.063 0.000 4.099
Te 2.532 0.000 1.770
Te 6.337 2.181 1.751
Te 0.005 0.000 6.446
Te 3.789 2.181 6.446
Te 6.337 -2.181 1.751
Te 10.122 0.000 1.751
Te 3.789 -2.181 6.446
Te 7.595 0.000 6.427
```

***

[8]
This record from Alexandria describes a relaxed structure of ZnCI2O. The functional is PBE. Values from VASP.

ΔE_f (raw) = 0.8779 eV per atom
space group = P4/mmm
distance to the lowest polymorph of the same formula = 0 meV per atom

The structure in Quantum ESPRESSO input format:
```
&SYSTEM
  ibrav = 0, nat = 5, ntyp = 4
/
ATOMIC_SPECIES
Zn 65.41 Zn.upf
C 12.01 C.upf
I 126.90 I.upf
O 16.00 O.upf
CELL_PARAMETERS angstrom
6.777 0.000 0.000
0.000 6.777 0.000
0.000 0.000 2.916
ATOMIC_POSITIONS angstrom
Zn 0.000 0.000 0.000
C 3.389 3.389 1.458
I 0.000 3.389 1.458
I 3.389 0.000 1.458
O 3.389 3.389 0.000
```

***

[9]
This record from Alexandria describes a relaxed structure of SrSbPt. The functional is PBE. Values from VASP.

ΔE_f (raw) = -0.8244 eV per atom
space group = Imma

The structure in Quantum ESPRESSO input format:
```
&SYSTEM
  ibrav = 0, nat = 6, ntyp = 3
/
ATOMIC_SPECIES
Sr 87.62 Sr.upf
Sb 121.76 Sb.upf
Pt 195.08 Pt.upf
CELL_PARAMETERS angstrom
-2.770 4.627 3.351
2.770 -4.627 3.351
2.770 4.627 -3.351
ATOMIC_POSITIONS angstrom
Sr 0.000 0.000 0.000
Sr 0.000 4.627 0.000
Sb 2.770 2.314 0.594
Sb 0.000 2.314 2.757
Pt 1.385 2.314 -1.676
Pt 1.385 -2.314 1.676
```

***

[10]
This record from Alexandria describes a relaxed structure of Er2CoBr. The functional is PBE. Values from VASP.

ΔE_f (raw) = -0.7163 eV per atom
space group = R3m
distance to the lowest polymorph of the same formula = 17 meV per atom

The structure in Quantum ESPRESSO input format:
```
&SYSTEM
  ibrav = 0, nat = 4, ntyp = 3
/
ATOMIC_SPECIES
Er 167.26 Er.upf
Co 58.93 Co.upf
Br 79.90 Br.upf
CELL_PARAMETERS angstrom
1.916 1.106 7.584
-1.916 1.106 7.584
0.000 -2.212 7.584
ATOMIC_POSITIONS angstrom
Er 0.000 0.000 0.000
Er 0.000 0.000 4.753
Co 0.000 0.000 13.744
Br 0.000 0.000 9.886
```

***

[11]
This record from Alexandria describes a relaxed structure of In2TcNi. The functional is PBE. Values from VASP.

formation energy = 0.4649 eV per atom
space group = F-43m

The structure in Quantum ESPRESSO input format:
```
&SYSTEM
  ibrav = 0, nat = 4, ntyp = 3
/
ATOMIC_SPECIES
In 114.82 In.upf
Tc 98.00 Tc.upf
Ni 58.69 Ni.upf
CELL_PARAMETERS angstrom
0.000 3.241 3.241
3.241 0.000 3.241
3.241 3.241 0.000
ATOMIC_POSITIONS angstrom
In 0.000 0.000 0.000
In 1.620 1.620 1.620
Tc 4.861 4.861 4.861
Ni 3.241 3.241 3.241
```

***

[12]
This record from Alexandria describes a relaxed structure of AcTeF. The functional is PBE. Values from VASP.

ΔE_f (raw) = -2.8014 eV per atom
space group = P6_3/mmc
distance to the lowest polymorph of the same formula = 3 meV per atom

The structure in Quantum ESPRESSO input format:
```
&SYSTEM
  ibrav = 0, nat = 6, ntyp = 3
/
ATOMIC_SPECIES
Ac 227.00 Ac.upf
Te 127.60 Te.upf
F 19.00 F.upf
CELL_PARAMETERS angstrom
4.468 0.000 0.000
-2.234 3.870 0.000
0.000 0.000 9.269
ATOMIC_POSITIONS angstrom
Ac 0.000 2.580 2.317
Ac 2.234 1.290 6.952
Te 0.000 0.000 0.000
Te 0.000 0.000 4.634
F 0.000 2.580 6.952
F 2.234 1.290 2.317
```

***

[13]
This record from Alexandria describes a relaxed structure of Ac2CuAs. The functional is PBE. Values from VASP.

formation energy = -0.6112 eV per atom
space group = P4/mmm
distance to the lowest polymorph of the same formula = 49 meV per atom

The structure in Quantum ESPRESSO input format:
```
&SYSTEM
  ibrav = 0, nat = 4, ntyp = 3
/
ATOMIC_SPECIES
Ac 227.00 Ac.upf
Cu 63.55 Cu.upf
As 74.92 As.upf
CELL_PARAMETERS angstrom
5.333 0.000 0.000
0.000 5.333 0.000
0.000 0.000 3.952
ATOMIC_POSITIONS angstrom
Ac 0.000 2.666 0.000
Ac 2.666 0.000 0.000
Cu 0.000 0.000 1.976
As 2.666 2.666 1.976
```

***

[14]
This record from Alexandria describes a relaxed structure of BaPrInHg. The functional is PBE. Values from VASP.

formation energy = -0.3788 eV per atom
space group = F-43m

The structure in Quantum ESPRESSO input format:
```
&SYSTEM
  ibrav = 0, nat = 4, ntyp = 4
/
ATOMIC_SPECIES
Ba 137.33 Ba.upf
Pr 140.91 Pr.upf
In 114.82 In.upf
Hg 200.59 Hg.upf
CELL_PARAMETERS angstrom
0.000 4.068 4.068
4.068 0.000 4.068
4.068 4.068 0.000
ATOMIC_POSITIONS angstrom
Ba 0.000 0.000 0.000
Pr 4.068 4.068 4.068
In 2.034 2.034 2.034
Hg 6.102 6.102 6.102
```

***

[15]
This record from Alexandria describes a relaxed structure of YInFe. The functional is PBE. Values from VASP.

formation energy = -0.0223 eV per atom
space group = P-6m2

The structure in Quantum ESPRESSO input format:
```
&SYSTEM
  ibrav = 0, nat = 3, ntyp = 3
/
ATOMIC_SPECIES
Y 88.91 Y.upf
In 114.82 In.upf
Fe 55.84 Fe.upf
CELL_PARAMETERS angstrom
4.678 0.000 0.000
-2.339 4.052 0.000
0.000 0.000 3.481
ATOMIC_POSITIONS angstrom
Y 0.000 0.000 0.000
In 2.339 1.351 1.741
Fe 0.000 2.701 1.741
```